<one>
{"formula": "ZrFeHgAs", "functional": "PBE", "state": "relaxed", "cell": [[0.8770, 2.7064, 3.7092], [0.8102, 4.5673, -0.5785], [-3.1702, 3.1330, 1.4092]], "species": ["As", "Fe", "Hg", "Zr"], "frac_coords": [[0.0000, 0.0000, 0.0000], [0.7500, 0.7500, 0.7500], [0.2500, 0.2500, 0.2500], [0.5000, 0.5000, 0.5000]]}


<two>
{"formula": "ZrFeHgAs", "functional": "PBE", "state": "relaxed", "cell": [[0.0000, 3.3046, 3.3046], [3.3046, 0.0000, 3.3046], [3.3046, 3.3046, 0.0000]], "species": ["As", "Fe", "Hg", "Zr"], "frac_coords": [[0.0000, 0.0000, 0.0000], [0.7500, 0.7500, 0.7500], [0.5000, 0.5000, 0.5000], [0.2500, 0.2500, 0.2500]]}


Stability summary: most stable <two>, least stable <one>.


<one>
{"formula": "TaFeAsIr", "functional": "PBE", "state": "relaxed", "cell": [[0.0000, 3.1221, 3.1221], [3.1221, 0.0000, 3.1221], [3.1221, 3.1221, 0.0000]], "species": ["As", "Fe", "Ir", "Ta"], "frac_coords": [[0.0000, 0.0000, 0.0000], [0.7500, 0.7500, 0.7500], [0.5000, 0.5000, 0.5000], [0.2500, 0.2500, 0.2500]]}


<two>
{"formula": "TaFeAsIr", "functional": "PBE", "state": "relaxed", "cell": [[1.9254, -0.8624, 3.8771], [-2.4377, -1.3515, 3.4225], [0.3180, -4.1643, 1.4283]], "species": ["As", "Fe", "Ir", "Ta"], "frac_coords": [[0.0000, 0.0000, 0.0000], [0.7500, 0.7500, 0.7500], [0.2500, 0.2500, 0.2500], [0.5000, 0.5000, 0.5000]]}


Stability summary: most stable <one>, least stable <two>.


<one>
{"formula": "YFeAsIr", "functional": "PBE", "state": "relaxed", "cell": [[0.0000, 3.2506, 3.2506], [3.2506, 0.0000, 3.2506], [3.2506, 3.2506, 0.0000]], "species": ["As", "Fe", "Ir", "Y"], "frac_coords": [[0.0000, 0.0000, 0.0000], [0.7500, 0.7500, 0.7500], [0.5000, 0.5000, 0.5000], [0.2500, 0.2500, 0.2500]]}


<two>
{"formula": "YFeAsIr", "functional": "PBE", "state": "relaxed", "cell": [[-2.8542, -3.4567, -0.9251], [-3.3861, 0.5752, -3.0256], [0.1838, -2.0941, -4.0660]], "species": ["As", "Fe", "Ir", "Y"], "frac_coords": [[0.0000, 0.0000, 0.0000], [0.7500, 0.7500, 0.7500], [0.2500, 0.2500, 0.2500], [0.5000, 0.5000, 0.5000]]}


Stability summary: most stable <two>, least stable <one>.


<one>
{"formula": "ZnFeAsIr", "functional": "PBE", "state": "relaxed", "cell": [[-3.4173, -1.4519, 2.2610], [-3.5273, -1.4527, -2.0848], [-0.9460, -4.2430, 0.0247]], "species": ["As", "Fe", "Ir", "Zn"], "frac_coords": [[0.0000, 0.0000, 0.0000], [0.7500, 0.7500, 0.7500], [0.5000, 0.5000, 0.5000], [0.2500, 0.2500, 0.2500]]}


<two>
{"formula": "ZnFeAsIr", "functional": "PBE", "state": "relaxed", "cell": [[-1.8531, 1.9514, 3.2591], [-2.4749, 3.3586, -0.6775], [-4.1793, -0.3093, 0.5495]], "species": ["As", "Fe", "Ir", "Zn"], "frac_coords": [[0.0000, 0.0000, 0.0000], [0.7500, 0.7500, 0.7500], [0.2500, 0.2500, 0.2500], [0.5000, 0.5000, 0.5000]]}


Stability summary: most stable <two>, least stable <one>.


<one>
{"formula": "LiMgFeAs", "functional": "PBE", "state": "relaxed", "cell": [[-3.3686, -2.5809, 0.4511], [-0.4654, -2.2974, 3.5661], [-3.0823, 0.9814, 2.7835]], "species": ["As", "Fe", "Li", "Mg"], "frac_coords": [[0.0000, 0.0000, 0.0000], [0.7500, 0.7500, 0.7500], [0.2500, 0.2500, 0.2500], [0.5000, 0.5000, 0.5000]]}


<two>
{"formula": "LiMgFeAs", "functional": "PBE", "state": "relaxed", "cell": [[-3.3096, 2.6467, 0.7749], [-0.6751, 3.4077, -2.5477], [-3.3819, 0.0584, -2.6681]], "species": ["As", "Fe", "Li", "Mg"], "frac_coords": [[0.2500, 0.2500, 0.2500], [0.0000, 0.0000, 0.0000], [0.7500, 0.7500, 0.7500], [0.5000, 0.5000, 0.5000]]}


Stability summary: most stable <one>, least stable <two>.


<one>
{"formula": "LiNbFeAs", "functional": "PBE", "state": "relaxed", "cell": [[-2.0210, -3.5065, -1.3395], [0.1435, -3.5654, 2.3328], [-3.4911, -1.3571, 2.0359]], "species": ["As", "Fe", "Li", "Nb"], "frac_coords": [[0.0000, 0.0000, 0.0000], [0.7500, 0.7500, 0.7500], [0.5000, 0.5000, 0.5000], [0.2500, 0.2500, 0.2500]]}


<two>
{"formula": "LiNbFeAs", "functional": "PBE", "state": "relaxed", "cell": [[0.0000, 2.9613, 2.9613], [2.9613, 0.0000, 2.9613], [2.9613, 2.9613, 0.0000]], "species": ["As", "Fe", "Li", "Nb"], "frac_coords": [[0.0000, 0.0000, 0.0000], [0.7500, 0.7500, 0.7500], [0.2500, 0.2500, 0.2500], [0.5000, 0.5000, 0.5000]]}


Stability summary: most stable <two>, least stable <one>.